The following is a DFT calculation (PBE) of an optimized crystal structure of MgW4.

Lattice parameters (Å, degrees): 6.3247 6.3247 6.3247 140.78 140.78 56.68
Positions (direct):
Mg (0.0000, 0.0000, 0.0000)
W (0.2500, 0.7500, 0.5000)
W (0.3817, 0.3817, 0.0000)
W (0.6183, 0.6183, 0.0000)
W (0.7500, 0.2500, 0.5000)

## Properties
Its polymorph energy (0 for the lowest one) is 0.394 eV per atom. As for the uncorrected energy: -9.8413 eV/atom. Its energy of formation from the pure elements is 81 kJ per mole of atoms. Its volume is 20.070 A^3/atom. As for the symmetry: No. 139.


The following is a DFT calculation (PBE) of an optimized crystal structure of MgW.

Lattice parameters (Å, degrees): 4.7027 4.7027 4.7660 90.00 90.00 120.00
Positions (direct):
Mg (0.3333, 0.6667, 0.2500)
Mg (0.6667, 0.3333, 0.7500)
W (0.0000, 0.0000, 0.0000)
W (0.0000, 0.0000, 0.5000)

## Properties
Its polymorph energy (0 for the lowest one) is 1.145 eV per atom. As for the uncorrected energy: -5.8678 eV/atom. Its energy of formation from the pure elements is 136 kJ per mole of atoms. Its volume is 22.820 A^3/atom. As for the symmetry: No. 194.


The following is a DFT calculation (PBE) of an optimized crystal structure of Mg7W.

Lattice parameters (Å, degrees): 6.1943 6.1943 4.9307 90.00 90.00 120.00
Positions (direct):
Mg (0.0000, 0.0000, 0.0000)
Mg (0.0203, 0.5101, 0.0000)
Mg (0.3358, 0.1679, 0.5000)
Mg (0.4899, 0.5101, 0.0000)
Mg (0.4899, 0.9797, 0.0000)
Mg (0.8321, 0.1679, 0.5000)
Mg (0.8321, 0.6642, 0.5000)
W (0.3333, 0.6667, 0.5000)

## Properties
Its polymorph energy (0 for the lowest one) is 0.045 eV per atom. As for the uncorrected energy: -2.7261 eV/atom. Its energy of formation from the pure elements is 28 kJ per mole of atoms. Its volume is 20.480 A^3/atom. As for the symmetry: No. 187.